[1]
# Sm4P3Br (GGA-PBE, optimized geometry)
# total magnetization = 0.0 μB per cell
# formation energy without anion corrections = -1.555 eV per atom
data_Sm4P3Br
_cell_length_a 8.336
_cell_length_b 11.695
_cell_length_c 4.107
_cell_angle_alpha 90.00
_cell_angle_beta 90.00
_cell_angle_gamma 90.00
_symmetry_space_group_name_H-M 'C m m m'
_symmetry_Int_Tables_number 65
_symmetry_space_group_name_Hall '-C 2 2'
loop_
_atom_site_label
_atom_site_type_symbol
_atom_site_fract_x
_atom_site_fract_y
_atom_site_fract_z
_atom_site_occupancy
Sm1 Sm 0.000 0.239 0.000 1
Sm2 Sm 0.226 0.000 0.500 1
P1 P 0.000 0.000 0.000 1
P2 P 0.250 0.250 0.500 1
Br1 Br 0.000 0.500 0.000 1


[2]
# SmPBr (GGA-PBE, optimized geometry)
# energy above the lowest structure with this stoichiometry = 0 meV/atom
# total magnetization = 0.0 μB per cell
# formation energy without anion corrections = -1.417 eV per atom
data_SmPBr
_cell_length_a 4.000
_cell_length_b 5.103
_cell_length_c 10.719
_cell_angle_alpha 77.75
_cell_angle_beta 79.89
_cell_angle_gamma 68.07
_symmetry_space_group_name_H-M 'P -1'
_symmetry_Int_Tables_number 2
loop_
_symmetry_equiv_pos_as_xyz
'x,y,z'
'-x,-y,-z'
loop_
_atom_site_label
_atom_site_type_symbol
_atom_site_fract_x
_atom_site_fract_y
_atom_site_fract_z
_atom_site_occupancy
Sm1 Sm 0.178 0.293 0.357 1
P1 P 0.481 0.687 0.425 1
Br1 Br 0.197 0.797 0.831 1